# 1
VASP calculation (PBE-GGA) on NiSnGePt2 after structural relaxation.

Output
The uncorrected energy comes out at -4.97 eV/atom. The calculation puts the formation energy at 1.65 eV/f.u. The space group is P4/mmm, No. 123.

abc: 4.814 4.814 4.236
angles: 90.00 90.00 90.00
Fractional coordinates of all 5 atoms:
Ni1 0.000 0.000 0.000
Sn1 0.500 0.500 0.500
Ge1 0.000 0.000 0.500
Pt1 0.000 0.500 0.000
Pt2 0.500 0.000 0.000

***

# 2
VASP calculation (PBE-GGA) on TlAg2Bi after structural relaxation.

Output
The uncorrected energy comes out at -2.75 eV/atom. The calculation puts the formation energy at 0.96 eV/f.u. The space group is I-42d, No. 122.

abc: 10.202 10.202 10.202
angles: 153.49 153.49 37.84
Fractional coordinates of all 8 atoms:
Tl1 0.000 0.000 0.000
Tl2 0.750 0.250 0.500
Ag1 0.118 0.625 0.993
Ag2 0.375 0.368 0.493
Ag3 0.632 0.125 0.007
Ag4 0.875 0.882 0.507
Bi1 0.250 0.750 0.500
Bi2 0.500 0.500 0.000

***

# 3
VASP calculation (PBE-GGA) on EuGdZnPt after structural relaxation.

Output
The uncorrected energy comes out at -8.58 eV/atom. The calculation puts the formation energy at -2.65 eV/f.u. The space group is F-43m, No. 216.

abc: 5.087 5.087 5.087
angles: 60.00 60.00 60.00
Fractional coordinates of all 4 atoms:
Eu1 0.000 0.000 0.000
Gd1 0.500 0.500 0.500
Zn1 0.250 0.250 0.250
Pt1 0.750 0.750 0.750

***

# 4
VASP calculation (PBE-GGA) on Tm2Si4Pt3Rh after structural relaxation.

Output
The uncorrected energy comes out at -6.69 eV/atom. The space group is P-4m2, No. 115. The formation energy (no corrections) comes out at -104.59 kJ/mol of atoms.

abc: 4.081 4.081 10.125
angles: 90.00 90.00 90.00
Fractional coordinates of all 10 atoms:
Tm1 0.000 0.500 0.249
Tm2 0.500 0.000 0.751
Si1 0.000 0.000 0.500
Si2 0.000 0.500 0.865
Si3 0.500 0.000 0.135
Si4 0.500 0.500 0.500
Pt1 0.000 0.000 0.000
Pt2 0.000 0.500 0.630
Pt3 0.500 0.000 0.370
Rh1 0.500 0.500 0.000